Model A:
Material: NbPPdRu2
Method: DFT, PBE
State: optimized geometry

For the density of states at the Fermi level, the calculation gives 5.4 states/eV/cell. The space-group type is P4/mmm, No. 123.

a b c (Å): 4.3467 4.3467 4.4370
angles (deg): 90.00 90.00 90.00
Element x y z (fractional)
Nb 0.0000 0.0000 0.0000
P 0.5000 0.5000 0.5000
Pd 0.5000 0.5000 0.0000
Ru 0.0000 0.5000 0.5000
Ru 0.5000 0.0000 0.5000

Model B:
Material: NbPPdRu2
Method: DFT, PBE
State: optimized geometry

For the density of states at the Fermi level, the calculation gives 5.4 states/eV/cell. The space-group type is P4/mmm, No. 123.

a b c (Å): 4.7428 4.7428 4.7533
angles (deg): 90.00 90.00 90.00
Element x y z (fractional)
Nb 0.0000 0.0000 0.0000
P 0.5000 0.5000 0.0000
Pd 0.0000 0.0000 0.5000
Ru 0.0000 0.5000 0.5000
Ru 0.5000 0.0000 0.5000

Result of the stability comparison: model B is the least stable of them.

Model A:
Material: NbPPdS2
Method: DFT, PBE
State: optimized geometry

For the density of states at the Fermi level, the calculation gives 5.9 states/eV/cell. The space-group type is P4/mmm, No. 123.

a b c (Å): 4.5879 4.5879 4.5828
angles (deg): 90.00 90.00 90.00
Element x y z (fractional)
Nb 0.0000 0.0000 0.0000
P 0.5000 0.5000 0.0000
Pd 0.5000 0.5000 0.5000
S 0.0000 0.5000 0.5000
S 0.5000 0.0000 0.5000

Model B:
Material: NbPPdS2
Method: DFT, PBE
State: optimized geometry

For the density of states at the Fermi level, the calculation gives 5.3 states/eV/cell. The space-group type is P4/mmm, No. 123.

a b c (Å): 4.7349 4.7349 4.8861
angles (deg): 90.00 90.00 90.00
Element x y z (fractional)
Nb 0.0000 0.0000 0.0000
P 0.0000 0.0000 0.5000
Pd 0.5000 0.5000 0.5000
S 0.0000 0.5000 0.0000
S 0.5000 0.0000 0.0000

Result of the stability comparison: model A is the least stable of them.

Model A:
Material: PmNbP2
Method: DFT, PBE
State: optimized geometry

For the density of states at the Fermi level, the calculation gives 13.2 states/eV/cell. The space-group type is Fm-3m, No. 225.

a b c (Å): 6.6572 6.6572 6.6572
angles (deg): 90.00 90.00 90.00
Element x y z (fractional)
Pm 0.0000 0.0000 0.0000
Pm 0.0000 0.5000 0.5000
Pm 0.5000 0.0000 0.5000
Pm 0.5000 0.5000 0.0000
Nb 0.0000 0.0000 0.5000
Nb 0.0000 0.5000 0.0000
Nb 0.5000 0.0000 0.0000
Nb 0.5000 0.5000 0.5000
P 0.2500 0.2500 0.2500
P 0.2500 0.2500 0.7500
P 0.2500 0.7500 0.2500
P 0.2500 0.7500 0.7500
P 0.7500 0.2500 0.2500
P 0.7500 0.2500 0.7500
P 0.7500 0.7500 0.2500
P 0.7500 0.7500 0.7500

Model B:
Material: PmNbP2
Method: DFT, PBE
State: optimized geometry

For the density of states at the Fermi level, the calculation gives 5.2 states/eV/cell. The space-group type is R-3m, No. 166.

a b c (Å): 3.8078 3.8078 19.0038
angles (deg): 90.00 90.00 120.00
Element x y z (fractional)
Pm 0.0000 0.0000 0.0000
Pm 0.3333 0.6667 0.6667
Pm 0.6667 0.3333 0.3333
Nb 0.0000 0.0000 0.5000
Nb 0.3333 0.6667 0.1667
Nb 0.6667 0.3333 0.8333
P 0.0000 0.0000 0.2389
P 0.0000 0.0000 0.7611
P 0.3333 0.6667 0.4278
P 0.3333 0.6667 0.9055
P 0.6667 0.3333 0.0945
P 0.6667 0.3333 0.5722

Result of the stability comparison: model A is the least stable of them.

Model A:
Material: PrNbP2
Method: DFT, PBE
State: optimized geometry

For the density of states at the Fermi level, the calculation gives 5.4 states/eV/cell. The space-group type is R-3m, No. 166.

a b c (Å): 3.8390 3.8390 19.1936
angles (deg): 90.00 90.00 120.00
Element x y z (fractional)
Pr 0.0000 0.0000 0.0000
Pr 0.3333 0.6667 0.6667
Pr 0.6667 0.3333 0.3333
Nb 0.0000 0.0000 0.5000
Nb 0.3333 0.6667 0.1667
Nb 0.6667 0.3333 0.8333
P 0.0000 0.0000 0.2372
P 0.0000 0.0000 0.7628
P 0.3333 0.6667 0.4295
P 0.3333 0.6667 0.9039
P 0.6667 0.3333 0.0961
P 0.6667 0.3333 0.5705

Model B:
Material: PrNbP2
Method: DFT, PBE
State: optimized geometry

For the density of states at the Fermi level, the calculation gives 10.3 states/eV/cell. The space-group type is I-4m2, No. 119.

a b c (Å): 3.7283 3.7283 12.7236
angles (deg): 90.00 90.00 90.00
Element x y z (fractional)
Pr 0.0000 0.0000 0.0000
Pr 0.5000 0.5000 0.5000
Nb 0.0000 0.5000 0.7500
Nb 0.5000 0.0000 0.2500
P 0.0000 0.0000 0.3735
P 0.0000 0.0000 0.6265
P 0.5000 0.5000 0.1265
P 0.5000 0.5000 0.8735

Result of the stability comparison: model B is the least stable of them.

Model A:
Material: NbP3Pt
Method: DFT, PBE
State: optimized geometry

For the density of states at the Fermi level, the calculation gives 5.8 states/eV/cell. The space-group type is Pm-3m, No. 221.

a b c (Å): 4.6108 4.6108 4.6108
angles (deg): 90.00 90.00 90.00
Element x y z (fractional)
Nb 0.0000 0.0000 0.0000
P 0.0000 0.5000 0.5000
P 0.5000 0.0000 0.5000
P 0.5000 0.5000 0.0000
Pt 0.5000 0.5000 0.5000

Model B:
Material: NbP3Pt
Method: DFT, PBE
State: optimized geometry

For the density of states at the Fermi level, the calculation gives 3.9 states/eV/cell. The space-group type is Pm-3m, No. 221.

a b c (Å): 4.7471 4.7471 4.7471
angles (deg): 90.00 90.00 90.00
Element x y z (fractional)
Nb 0.0000 0.0000 0.0000
P 0.0000 0.0000 0.5000
P 0.0000 0.5000 0.0000
P 0.5000 0.0000 0.0000
Pt 0.5000 0.5000 0.5000

Result of the stability comparison: model A is the least stable of them.

Model A:
Material: RbNbP2S
Method: DFT, PBE
State: optimized geometry

For the density of states at the Fermi level, the calculation gives 6.2 states/eV/cell. The space-group type is P4/mmm, No. 123.

a b c (Å): 5.1197 5.1197 5.2388
angles (deg): 90.00 90.00 90.00
Element x y z (fractional)
Rb 0.0000 0.0000 0.0000
Nb 0.5000 0.5000 0.5000
P 0.0000 0.5000 0.0000
P 0.5000 0.0000 0.0000
S 0.0000 0.0000 0.5000

Model B:
Material: RbNbP2S
Method: DFT, PBE
State: optimized geometry

For the density of states at the Fermi level, the calculation gives 3.7 states/eV/cell. The space-group type is P4/mmm, No. 123.

a b c (Å): 4.9382 4.9382 4.9549
angles (deg): 90.00 90.00 90.00
Element x y z (fractional)
Rb 0.0000 0.0000 0.0000
Nb 0.5000 0.5000 0.5000
P 0.0000 0.5000 0.5000
P 0.5000 0.0000 0.5000
S 0.5000 0.5000 0.0000

Result of the stability comparison: model A is the least stable of them.

Model A:
Material: RbNbPS2
Method: DFT, PBE
State: optimized geometry

For the density of states at the Fermi level, the calculation gives 1.6 states/eV/cell. The space-group type is P4/mmm, No. 123.

a b c (Å): 4.9225 4.9225 4.9422
angles (deg): 90.00 90.00 90.00
Element x y z (fractional)
Rb 0.0000 0.0000 0.0000
Nb 0.5000 0.5000 0.5000
P 0.5000 0.5000 0.0000
S 0.0000 0.5000 0.5000
S 0.5000 0.0000 0.5000

Model B:
Material: RbNbPS2
Method: DFT, PBE
State: optimized geometry

For the density of states at the Fermi level, the calculation gives 12.2 states/eV/cell. The space-group type is P4/mmm, No. 123.

a b c (Å): 5.1681 5.1681 5.1239
angles (deg): 90.00 90.00 90.00
Element x y z (fractional)
Rb 0.0000 0.0000 0.0000
Nb 0.5000 0.5000 0.5000
P 0.0000 0.0000 0.5000
S 0.0000 0.5000 0.0000
S 0.5000 0.0000 0.0000

Result of the stability comparison: model B is the least stable of them.

Model A:
Material: NbRe3P
Method: DFT, PBE
State: optimized geometry

For the density of states at the Fermi level, the calculation gives 2.0 states/eV/cell. The space-group type is Pm-3m, No. 221.

a b c (Å): 4.3651 4.3651 4.3651
angles (deg): 90.00 90.00 90.00
Element x y z (fractional)
Nb 0.0000 0.0000 0.0000
Re 0.0000 0.5000 0.5000
Re 0.5000 0.0000 0.5000
Re 0.5000 0.5000 0.0000
P 0.5000 0.5000 0.5000

Model B:
Material: NbRe3P
Method: DFT, PBE
State: optimized geometry

For the density of states at the Fermi level, the calculation gives 8.6 states/eV/cell. The space-group type is Pm-3m, No. 221.

a b c (Å): 4.7596 4.7596 4.7596
angles (deg): 90.00 90.00 90.00
Element x y z (fractional)
Nb 0.0000 0.0000 0.0000
Re 0.0000 0.0000 0.5000
Re 0.0000 0.5000 0.0000
Re 0.5000 0.0000 0.0000
P 0.5000 0.5000 0.5000

Result of the stability comparison: model B is the least stable of them.

Model A:
Material: NbP3Rh
Method: DFT, PBE
State: optimized geometry

For the density of states at the Fermi level, the calculation gives 7.2 states/eV/cell. The space-group type is Pm-3m, No. 221.

a b c (Å): 4.5289 4.5289 4.5289
angles (deg): 90.00 90.00 90.00
Element x y z (fractional)
Nb 0.0000 0.0000 0.0000
P 0.0000 0.5000 0.5000
P 0.5000 0.0000 0.5000
P 0.5000 0.5000 0.0000
Rh 0.5000 0.5000 0.5000

Model B:
Material: NbP3Rh
Method: DFT, PBE
State: optimized geometry

For the density of states at the Fermi level, the calculation gives 3.8 states/eV/cell. The space-group type is Pm-3m, No. 221.

a b c (Å): 4.7424 4.7424 4.7424
angles (deg): 90.00 90.00 90.00
Element x y z (fractional)
Nb 0.0000 0.0000 0.0000
P 0.0000 0.0000 0.5000
P 0.0000 0.5000 0.0000
P 0.5000 0.0000 0.0000
Rh 0.5000 0.5000 0.5000

Result of the stability comparison: model B is the least stable of them.

Model A:
Material: NbP2RhS
Method: DFT, PBE
State: optimized geometry

For the density of states at the Fermi level, the calculation gives 5.4 states/eV/cell. The space-group type is P4/mmm, No. 123.

a b c (Å): 4.7966 4.7966 4.6638
angles (deg): 90.00 90.00 90.00
Element x y z (fractional)
Nb 0.0000 0.0000 0.0000
P 0.0000 0.5000 0.0000
P 0.5000 0.0000 0.0000
Rh 0.5000 0.5000 0.5000
S 0.0000 0.0000 0.5000

Model B:
Material: NbP2RhS
Method: DFT, PBE
State: optimized geometry

For the density of states at the Fermi level, the calculation gives 4.6 states/eV/cell. The space-group type is P4/mmm, No. 123.

a b c (Å): 4.4556 4.4556 4.2749
angles (deg): 90.00 90.00 90.00
Element x y z (fractional)
Nb 0.0000 0.0000 0.0000
P 0.0000 0.5000 0.5000
P 0.5000 0.0000 0.5000
Rh 0.5000 0.5000 0.0000
S 0.5000 0.5000 0.5000

Model C:
Material: NbP2RhS
Method: DFT, PBE
State: optimized geometry

For the density of states at the Fermi level, the calculation gives 7.3 states/eV/cell. The space-group type is P4/mmm, No. 123.

a b c (Å): 4.7341 4.7341 4.9055
angles (deg): 90.00 90.00 90.00
Element x y z (fractional)
Nb 0.0000 0.0000 0.0000
P 0.0000 0.5000 0.0000
P 0.5000 0.0000 0.0000
Rh 0.0000 0.0000 0.5000
S 0.5000 0.5000 0.5000

Model D:
Material: NbP2RhS
Method: DFT, PBE
State: optimized geometry

For the density of states at the Fermi level, the calculation gives 5.3 states/eV/cell. The space-group type is P4/mmm, No. 123.

a b c (Å): 4.4805 4.4805 4.6526
angles (deg): 90.00 90.00 90.00
Element x y z (fractional)
Nb 0.0000 0.0000 0.0000
P 0.0000 0.5000 0.5000
P 0.5000 0.0000 0.5000
Rh 0.5000 0.5000 0.5000
S 0.5000 0.5000 0.0000

Result of the stability comparison: model C is the least stable of them.

Model A:
Material: NbP3S
Method: DFT, PBE
State: optimized geometry

For the density of states at the Fermi level, the calculation gives 3.7 states/eV/cell. The space-group type is Pm-3m, No. 221.

a b c (Å): 4.8040 4.8040 4.8040
angles (deg): 90.00 90.00 90.00
Element x y z (fractional)
Nb 0.0000 0.0000 0.0000
P 0.0000 0.0000 0.5000
P 0.0000 0.5000 0.0000
P 0.5000 0.0000 0.0000
S 0.5000 0.5000 0.5000

Model B:
Material: NbP3S
Method: DFT, PBE
State: optimized geometry

For the density of states at the Fermi level, the calculation gives 4.9 states/eV/cell. The space-group type is Pm-3m, No. 221.

a b c (Å): 4.3737 4.3737 4.3737
angles (deg): 90.00 90.00 90.00
Element x y z (fractional)
Nb 0.0000 0.0000 0.0000
P 0.0000 0.5000 0.5000
P 0.5000 0.0000 0.5000
P 0.5000 0.5000 0.0000
S 0.5000 0.5000 0.5000

Result of the stability comparison: model B is the least stable of them.

Model A:
Material: NbP2S2
Method: DFT, PBE
State: optimized geometry

For the density of states at the Fermi level, the calculation gives 5.1 states/eV/cell. The space-group type is P4/mmm, No. 123.

a b c (Å): 4.3801 4.3801 4.4071
angles (deg): 90.00 90.00 90.00
Element x y z (fractional)
Nb 0.0000 0.0000 0.0000
P 0.5000 0.5000 0.0000
P 0.5000 0.5000 0.5000
S 0.0000 0.5000 0.5000
S 0.5000 0.0000 0.5000

Model B:
Material: NbP2S2
Method: DFT, PBE
State: optimized geometry

For the density of states at the Fermi level, the calculation gives 5.7 states/eV/cell. The space-group type is P4/mmm, No. 123.

a b c (Å): 4.9160 4.9160 4.6074
angles (deg): 90.00 90.00 90.00
Element x y z (fractional)
Nb 0.0000 0.0000 0.0000
P 0.0000 0.5000 0.0000
P 0.5000 0.0000 0.0000
S 0.0000 0.0000 0.5000
S 0.5000 0.5000 0.5000

Model C:
Material: NbP2S2
Method: DFT, PBE
State: optimized geometry

For the density of states at the Fermi level, the calculation gives 5.6 states/eV/cell. The space-group type is P4/mbm, No. 127.

a b c (Å): 7.1350 7.1350 3.1539
angles (deg): 90.00 90.00 90.00
Element x y z (fractional)
Nb 0.0000 0.0000 0.0000
Nb 0.5000 0.5000 0.0000
P 0.2055 0.2945 0.5000
P 0.2945 0.7945 0.5000
P 0.7055 0.2055 0.5000
P 0.7945 0.7055 0.5000
S 0.1407 0.6407 0.0000
S 0.3593 0.1407 0.0000
S 0.6407 0.8593 0.0000
S 0.8593 0.3593 0.0000

Model D:
Material: NbP2S2
Method: DFT, PBE
State: optimized geometry

For the density of states at the Fermi level, the calculation gives 5.5 states/eV/cell. The space-group type is I4/mmm, No. 139.

a b c (Å): 3.1380 3.1380 21.3505
angles (deg): 90.00 90.00 90.00
Element x y z (fractional)
Nb 0.0000 0.0000 0.0000
Nb 0.5000 0.5000 0.5000
P 0.0000 0.5000 0.2500
P 0.0000 0.5000 0.7500
P 0.5000 0.0000 0.2500
P 0.5000 0.0000 0.7500
S 0.0000 0.0000 0.4318
S 0.0000 0.0000 0.5682
S 0.5000 0.5000 0.0682
S 0.5000 0.5000 0.9318

Result of the stability comparison: model A is the least stable of them.